[1]
Below is Pr2NdTh after structural relaxation, with properties calculated at the GGA-PBE level.

a = 12.850 Å, b = 12.850 Å, c = 12.850 Å
α = 16.09°, β = 16.09°, γ = 16.09°
Atoms (fractional coordinates):
Pr (0.091, 0.091, 0.091)
Pr (0.909, 0.909, 0.909)
Nd (0.000, 0.000, 0.000)
Th (0.500, 0.500, 0.500)

Summary:
Size of the total moment, μB per atom: 0.00
Formation energy from the elements, meV/atom: 138
Total energy, eV per atom: -5.299
DOS at the Fermi energy, states/eV per cell: 6.12
Mass density, Mg/m³: 7.69
Offset from the most stable computed form, eV per atom: 0.1087

[2]
Below is Sm4HgRu after structural relaxation, with properties calculated at the GGA-PBE level.

a = 7.761 Å, b = 7.761 Å, c = 6.369 Å
α = 98.78°, β = 98.78°, γ = 111.52°
Atoms (fractional coordinates):
Sm (0.062, 0.725, 0.959)
Sm (0.206, 0.371, 0.592)
Sm (0.275, 0.938, 0.541)
Sm (0.371, 0.206, 0.092)
Sm (0.629, 0.794, 0.908)
Sm (0.725, 0.062, 0.459)
Sm (0.794, 0.629, 0.408)
Sm (0.938, 0.275, 0.041)
Hg (0.375, 0.625, 0.250)
Hg (0.625, 0.375, 0.750)
Ru (0.001, 0.999, 0.750)
Ru (0.999, 0.001, 0.250)

Summary:
Size of the total moment, μB per atom: 0.00
Formation energy from the elements, meV/atom: -311
Total energy, eV per atom: -5.054
DOS at the Fermi energy, states/eV per cell: 13.85
Mass density, Mg/m³: 8.73
Offset from the most stable computed form, eV per atom: 0.0244

[3]
Below is Pr4SiPd after structural relaxation, with properties calculated at the GGA-PBE level.

a = 11.041 Å, b = 11.041 Å, c = 6.358 Å
α = 90.00°, β = 90.00°, γ = 151.55°
Atoms (fractional coordinates):
Pr (0.057, 0.943, 0.500)
Pr (0.198, 0.802, 0.759)
Pr (0.213, 0.787, 0.274)
Pr (0.389, 0.611, 0.532)
Pr (0.611, 0.389, 0.032)
Pr (0.787, 0.213, 0.774)
Pr (0.802, 0.198, 0.259)
Pr (0.943, 0.057, 0.000)
Si (0.340, 0.660, 0.010)
Si (0.660, 0.340, 0.510)
Pd (0.077, 0.923, 0.007)
Pd (0.923, 0.077, 0.507)

Summary:
Size of the total moment, μB per atom: 0.00
Total energy, eV per atom: -5.251
DOS at the Fermi energy, states/eV per cell: 13.53
Mass density, Mg/m³: 6.28
Raw formation energy, kJ/mol of formula units: -171

[4]
Below is TaTeHI2 after structural relaxation, with properties calculated at the GGA-PBE level.

a = 5.659 Å, b = 5.659 Å, c = 5.352 Å
α = 90.00°, β = 90.00°, γ = 90.00°
Atoms (fractional coordinates):
Ta (0.000, 0.000, 0.000)
Te (0.000, 0.000, 0.500)
H (0.500, 0.500, 0.500)
I (0.000, 0.500, 0.000)
I (0.500, 0.000, 0.000)

Summary:
Size of the total moment, μB per atom: 0.20
Total energy, eV per atom: -3.805
DOS at the Fermi energy, states/eV per cell: 1.82
Mass density, Mg/m³: 5.46
Offset from the most stable computed form, eV per atom: 0.0000

[5]
Below is CaTaCl after structural relaxation, with properties calculated at the GGA-PBE level.

a = 7.163 Å, b = 6.977 Å, c = 3.134 Å
α = 80.54°, β = 73.89°, γ = 25.57°
Atoms (fractional coordinates):
Ca (0.000, 0.000, 0.000)
Ta (0.315, 0.315, 0.685)
Cl (0.658, 0.658, 0.342)

Summary:
Size of the total moment, μB per atom: 0.00
Total energy, eV per atom: -5.199
DOS at the Fermi energy, states/eV per cell: 2.78
Mass density, Mg/m³: 6.70
Raw formation energy, kJ/mol of formula units: 10
Offset from the most stable computed form, eV per atom: 0.8433

[6]
Below is CsUHgTe3 after structural relaxation, with properties calculated at the GGA-PBE level.

a = 9.805 Å, b = 4.656 Å, c = 11.362 Å
α = 90.00°, β = 111.93°, γ = 90.00°
Atoms (fractional coordinates):
Cs (0.237, 0.250, 0.266)
Cs (0.763, 0.750, 0.734)
U (0.314, 0.750, 0.857)
U (0.686, 0.250, 0.143)
Hg (0.092, 0.250, 0.625)
Hg (0.908, 0.750, 0.375)
Te (0.109, 0.250, 0.885)
Te (0.228, 0.750, 0.555)
Te (0.474, 0.750, 0.149)
Te (0.526, 0.250, 0.851)
Te (0.772, 0.250, 0.445)
Te (0.891, 0.750, 0.115)

Summary:
Size of the total moment, μB per atom: 0.46
Total energy, eV per atom: -4.261
DOS at the Fermi energy, states/eV per cell: 15.33
Mass density, Mg/m³: 6.59
Raw formation energy, kJ/mol of formula units: -357

[7]
Below is LiCoPd2 after structural relaxation, with properties calculated at the GGA-PBE level.

a = 2.784 Å, b = 2.784 Å, c = 7.026 Å
α = 90.00°, β = 90.00°, γ = 90.00°
Atoms (fractional coordinates):
Li (0.000, 0.000, 0.000)
Co (0.000, 0.000, 0.500)
Pd (0.500, 0.500, 0.255)
Pd (0.500, 0.500, 0.745)

Summary:
Size of the total moment, μB per atom: 0.61
Formation energy from the elements, meV/atom: -145
Total energy, eV per atom: -4.996
DOS at the Fermi energy, states/eV per cell: 3.13
Mass density, Mg/m³: 8.50

[8]
Below is AgTe4Pd2 after structural relaxation, with properties calculated at the GGA-PBE level.

a = 5.639 Å, b = 4.157 Å, c = 7.540 Å
α = 90.00°, β = 90.61°, γ = 90.00°
Atoms (fractional coordinates):
Ag (0.000, 0.000, 0.000)
Te (0.215, 0.000, 0.379)
Te (0.301, 0.500, 0.826)
Te (0.699, 0.500, 0.174)
Te (0.785, 0.000, 0.621)
Pd (0.500, 0.000, 0.000)
Pd (0.500, 0.500, 0.500)

Summary:
Size of the total moment, μB per atom: 0.00
Total energy, eV per atom: -3.922
DOS at the Fermi energy, states/eV per cell: 2.31
Mass density, Mg/m³: 7.81
Raw formation energy, kJ/mol of formula units: -159

[9]
Below is Pm2PrCdC after structural relaxation, with properties calculated at the GGA-PBE level.

a = 5.082 Å, b = 5.082 Å, c = 5.194 Å
α = 90.00°, β = 90.00°, γ = 90.00°
Atoms (fractional coordinates):
Pm (0.000, 0.500, 0.000)
Pm (0.500, 0.000, 0.000)
Pr (0.000, 0.000, 0.500)
Cd (0.500, 0.500, 0.500)
C (0.000, 0.000, 0.000)

Summary:
Size of the total moment, μB per atom: 0.00
Formation energy from the elements, meV/atom: -161
Total energy, eV per atom: -5.045
DOS at the Fermi energy, states/eV per cell: 5.52
Mass density, Mg/m³: 6.88

[10]
Below is Dy2TlAg3 after structural relaxation, with properties calculated at the GGA-PBE level.

a = 9.843 Å, b = 9.843 Å, c = 9.843 Å
α = 156.93°, β = 156.31°, γ = 33.31°
Atoms (fractional coordinates):
Dy (0.000, 0.000, 0.000)
Dy (0.720, 0.220, 0.500)
Tl (0.404, 0.404, 0.000)
Ag (0.154, 0.654, 0.500)
Ag (0.299, 0.799, 0.500)
Ag (0.561, 0.561, 0.000)

Summary:
Size of the total moment, μB per atom: 0.00
Formation energy from the elements, meV/atom: -146
Total energy, eV per atom: -3.500
DOS at the Fermi energy, states/eV per cell: 2.97
Mass density, Mg/m³: 9.44
Offset from the most stable computed form, eV per atom: 0.1041

[11]
Below is Tl2CoW after structural relaxation, with properties calculated at the GGA-PBE level.

a = 5.565 Å, b = 5.565 Å, c = 5.565 Å
α = 148.28°, β = 124.25°, γ = 65.58°
Atoms (fractional coordinates):
Tl (0.228, 0.228, 0.000)
Tl (0.772, 0.772, 0.000)
Co (0.000, 0.500, 0.500)
W (0.500, 0.000, 0.500)

Summary:
Size of the total moment, μB per atom: 0.33
Formation energy from the elements, meV/atom: 998
Total energy, eV per atom: -5.200
DOS at the Fermi energy, states/eV per cell: 3.59
Mass density, Mg/m³: 14.61
Offset from the most stable computed form, eV per atom: 0.4745

[12]
Below is PmAlSi2Ir5 after structural relaxation, with properties calculated at the GGA-PBE level.

a = 4.078 Å, b = 4.078 Å, c = 9.952 Å
α = 90.00°, β = 90.00°, γ = 90.00°
Atoms (fractional coordinates):
Pm (0.000, 0.000, 0.000)
Al (0.000, 0.000, 0.500)
Si (0.500, 0.500, 0.233)
Si (0.500, 0.500, 0.767)
Ir (0.000, 0.500, 0.350)
Ir (0.000, 0.500, 0.650)
Ir (0.500, 0.000, 0.350)
Ir (0.500, 0.000, 0.650)
Ir (0.500, 0.500, 0.000)

Summary:
Size of the total moment, μB per atom: 0.00
Total energy, eV per atom: -7.559
DOS at the Fermi energy, states/eV per cell: 6.43
Mass density, Mg/m³: 11.93
Raw formation energy, kJ/mol of formula units: -423